# 1
La2Pm3Sn2 after structural relaxation. Source: the Alexandria database, functional PBE-GGA. Values from VASP.

Results
Theoretical density ... 6.87 g/cm³
Volume ... 32.80 Å³/atom
Energy of formation from the pure elements ... -0.3175 eV/atom
VASP energy ... -0.1803 Ha/atom

Cell and atoms, written as Quantum ESPRESSO input:
```
&SYSTEM
  ibrav = 0, nat = 7, ntyp = 3
/
ATOMIC_SPECIES
La 138.91 La.upf
Pm 145.00 Pm.upf
Sn 118.71 Sn.upf
ATOMIC_POSITIONS crystal
La 0.112 0.112 0.473
La 0.888 0.888 0.527
Pm 0.000 0.000 0.000
Pm 0.212 0.212 0.142
Pm 0.788 0.788 0.858
Sn 0.418 0.418 0.219
Sn 0.582 0.582 0.781
CELL_PARAMETERS angstrom
8.593 -1.795 0.000
8.593 1.795 0.000
-3.688 0.000 7.443
```



# 2
InCo2Hg after structural relaxation. Source: the Alexandria database, functional PBE-GGA. Values from VASP.

Results
Theoretical density ... 10.26 g/cm³
Volume ... 17.53 Å³/atom
Energy of formation from the pure elements ... 0.6744 eV/atom
VASP energy ... -0.1337 Ha/atom

Cell and atoms, written as Quantum ESPRESSO input:
```
&SYSTEM
  ibrav = 0, nat = 8, ntyp = 3
/
ATOMIC_SPECIES
In 114.82 In.upf
Co 58.93 Co.upf
Hg 200.59 Hg.upf
ATOMIC_POSITIONS crystal
In 0.000 0.000 0.000
In 0.750 0.250 0.500
Co 0.123 0.625 0.998
Co 0.375 0.373 0.498
Co 0.627 0.125 0.002
Co 0.875 0.877 0.502
Hg 0.250 0.750 0.500
Hg 0.500 0.500 0.000
CELL_PARAMETERS angstrom
-3.571 3.571 2.751
3.571 -3.571 2.751
3.571 3.571 -2.751
```